[1]
## Cs2CdSeO (GGA-PBEsol)

Data for an optimized crystal structure of Cs2CdSeO.

Results
N(E_F) = 0.68 states/eV/atom
ΔE_f (raw) = -88 meV/atom
Spin magnetization = 0.92 μB per formula unit

The structure in POSCAR format:
```
Cs2CdSeO
1.0
5.0144 0.0000 0.0000
0.0000 6.9621 0.0000
0.0000 0.0000 6.9621
Se O Cs Cd
1 1 2 1
Cartesian
2.5072 0.0000 0.0000
2.5072 3.4811 3.4811
0.0000 0.0000 3.4811
0.0000 3.4811 0.0000
0.0000 0.0000 0.0000
```

[2]
## Ba2ScCo (GGA-PBEsol)

Data for an optimized crystal structure of Ba2ScCo.

Results
E_form = 608.7 meV per atom
Distance to the lowest polymorph of the same formula = 0.0 meV/atom
N(E_F) = 1.89 states/eV/atom
Spin magnetization = 2.08 μB per formula unit

The structure in POSCAR format:
```
Ba2ScCo
1.0
3.6366 0.0000 0.0000
0.0000 3.6366 0.0000
0.0000 0.0000 9.3459
Ba Sc Co
2 1 1
Cartesian
0.0000 0.0000 7.5349
0.0000 0.0000 1.8110
1.8183 1.8183 4.6729
1.8183 1.8183 0.0000
```

[3]
## V2CrS4 (GGA-PBEsol)

Data for an optimized crystal structure of V2CrS4.

Results
N(E_F) = 0.49 states/eV/atom
ΔE_f (raw) = -986 meV/atom
Spin magnetization = 2.67 μB per formula unit

The structure in POSCAR format:
```
V2CrS4
1.0
-1.4280 -0.8199 2.7603
0.9391 -5.5631 -1.1666
5.1076 3.2082 1.7240
V S Cr
2 4 1
Cartesian
2.5718 -0.3128 1.2376
2.0469 -2.8620 2.0802
1.3462 -1.8976 0.1328
3.1959 1.8914 2.2152
3.2725 -1.2772 3.1850
1.4228 -5.0662 1.1025
0.0000 0.0000 0.0000
```

[4]
## Co3HgW (GGA-PBEsol)

Data for an optimized crystal structure of Co3HgW.

Results
E_form = 2430.1 meV per atom
N(E_F) = 2.28 states/eV/atom
Spin magnetization = 5.74 μB per formula unit

The structure in POSCAR format:
```
Co3HgW
1.0
4.4975 0.0000 0.0000
0.0000 4.4975 0.0000
0.0000 0.0000 4.4975
Hg Co W
1 3 1
Cartesian
0.0000 0.0000 0.0000
0.0000 0.0000 2.2488
2.2488 0.0000 0.0000
0.0000 2.2488 0.0000
2.2488 2.2488 2.2488
```

[5]
## Mg2ZrS (GGA-PBEsol)

Data for an optimized crystal structure of Mg2ZrS.

Results
Distance to the lowest polymorph of the same formula = 0.0 meV/atom
N(E_F) = 0.45 states/eV/atom
ΔE_f (raw) = -342 meV/atom
Spin magnetization = 0.00 μB per formula unit

The structure in POSCAR format:
```
Mg2ZrS
1.0
-2.7366 4.3764 0.2368
-1.9204 1.5440 5.6450
3.3422 5.0899 0.9272
Zr Mg S
2 4 2
Cartesian
-1.3415 6.5992 3.4636
0.0000 0.0000 0.0000
0.2313 5.4271 1.0237
-0.8618 4.4891 5.7260
-1.6440 2.6438 2.6044
-0.3548 9.4606 4.2637
-1.3683 2.1882 0.1184
0.0268 4.4111 3.3453
```

[6]
## Cu2SiBr (GGA-PBEsol)

Data for an optimized crystal structure of Cu2SiBr.

Results
Distance to the lowest polymorph of the same formula = 67.8 meV/atom
N(E_F) = 0.49 states/eV/atom
ΔE_f (raw) = 553 meV/atom
Spin magnetization = 0.00 μB per formula unit

The structure in POSCAR format:
```
Cu2SiBr
1.0
2.8654 0.0000 0.0000
0.0000 4.6470 0.0000
0.0000 0.0000 4.6470
Si Br Cu
1 1 2
Cartesian
1.4327 2.3235 2.3235
1.4327 0.0000 0.0000
0.0000 2.3235 0.0000
0.0000 0.0000 2.3235
```

[7]
## LiCaSb2 (GGA-PBEsol)

Data for an optimized crystal structure of LiCaSb2.

Results
Distance to the lowest polymorph of the same formula = 113.2 meV/atom
N(E_F) = 0.50 states/eV/atom
ΔE_f (raw) = -546 meV/atom
Spin magnetization = 0.00 μB per formula unit

The structure in POSCAR format:
```
LiCaSb2
1.0
5.2017 0.0000 0.0000
2.6009 4.5048 0.0000
2.6009 1.5016 4.2472
Ca Li Sb
1 1 2
Cartesian
0.0000 0.0000 0.0000
5.2017 3.0032 2.1236
7.8026 4.5048 3.1854
2.6009 1.5016 1.0618
```

[8]
## Ni2AgTe (GGA-PBEsol)

Data for an optimized crystal structure of Ni2AgTe.

Results
N(E_F) = 0.57 states/eV/atom
ΔE_f (raw) = 318 meV/atom
Spin magnetization = 0.00 μB per formula unit

The structure in POSCAR format:
```
Ni2AgTe
1.0
4.4045 0.0000 0.0000
2.2022 3.8144 0.0000
2.2022 1.2715 3.5962
Ni Ag Te
2 1 1
Cartesian
6.6067 3.8144 2.6972
0.0000 0.0000 0.0000
4.4045 2.5429 1.7981
2.2022 1.2715 0.8991
```

Q: Which value of N(E_F) does entry 2 give?
A: 1.89 states/eV/atom

Q: N(E_F) of number 2 (Ba2ScCo)?
A: 1.89 states/eV/atom

Repeat the fourth record exactly.
## Co3HgW (GGA-PBEsol)

Data for an optimized crystal structure of Co3HgW.

Results
E_form = 2430.1 meV per atom
N(E_F) = 2.28 states/eV/atom
Spin magnetization = 5.74 μB per formula unit

The structure in POSCAR format:
```
Co3HgW
1.0
4.4975 0.0000 0.0000
0.0000 4.4975 0.0000
0.0000 0.0000 4.4975
Hg Co W
1 3 1
Cartesian
0.0000 0.0000 0.0000
0.0000 0.0000 2.2488
2.2488 0.0000 0.0000
0.0000 2.2488 0.0000
2.2488 2.2488 2.2488
```

Q: Which formula does entry 7 have?
A: LiCaSb2